DyYNO | PBE | relaxed

Geometry as CIF:
```
data_DyYNO
_chemical_formula_sum 'Dy2 Y2 N2 O2'
_cell_length_a 4.878
_cell_length_b 3.970
_cell_length_c 6.861
_cell_angle_alpha 90.00
_cell_angle_beta 90.00
_cell_angle_gamma 90.00
_symmetry_space_group_name_H-M 'P m m a'
_symmetry_Int_Tables_number 51
loop_
_symmetry_equiv_pos_as_xyz
'x,y,z'
'-x,-y,-z'
'-x+1/2,-y,z'
'x+1/2,y,-z'
'x+1/2,-y,-z'
'-x+1/2,y,z'
'-x,y,-z'
'x,-y,z'
loop_
_atom_site_label
_atom_site_type_symbol
_atom_site_fract_x
_atom_site_fract_y
_atom_site_fract_z
Dy1 Dy 0.250 0.000 0.168
Y1 Y 0.250 0.500 0.665
N1 N 0.250 0.000 0.837
O1 O 0.250 0.500 0.324
```

Properties
Its energy above the most stable polymorph in this dataset is 0.1092 eV/atom. The total DFT energy (no corrections) comes out at -8.30 eV/atom.